1.
Density functional theory data (PBE) for a relaxed Nd2Al3Pd4 crystal.

## Properties
ΔH_f (0 K), meV/atom: -855
Theoretical density, kg/m³: 7703
Electronic total energy, eV/atom: -5.47
DOS(E_F), states/eV per atom: 0.599
Space-group type: Cmce (64)

Lattice parameters (Å, degrees): 8.3658 8.3658 7.6476 90.00 90.00 140.17
With the nearest neighbours (Å) after each atom.
Element x y z (fractional)
1 Nd 0.1080 0.8920 0.9140  8 Pd 3.02-3.36, 2 Al 3.19
2 Nd 0.3920 0.6080 0.4140  8 Pd 3.02-3.36, 2 Al 3.19
3 Nd 0.6080 0.3920 0.5860  8 Pd 3.02-3.36, 2 Al 3.19
4 Nd 0.8920 0.1080 0.0860  8 Pd 3.02-3.36, 2 Al 3.19
5 Al 0.0000 0.0000 0.5000  4 Pd 2.59
6 Al 0.0210 0.4790 0.7500  5 Pd 2.60-2.65, 2 Al 2.85
7 Al 0.4790 0.0210 0.2500  5 Pd 2.60-2.65, 2 Al 2.85
8 Al 0.5000 0.5000 0.0000  4 Pd 2.59
9 Al 0.5210 0.9790 0.7500  5 Pd 2.60-2.65, 2 Al 2.85
10 Al 0.9790 0.5210 0.2500  5 Pd 2.60-2.65, 2 Al 2.85
11 Pd 0.1843 0.8157 0.5188  5 Al 2.60-2.90
12 Pd 0.1862 0.3138 0.7500  3 Al 2.59-2.60, 2 Pd 2.85
13 Pd 0.3138 0.1862 0.2500  3 Al 2.59-2.60, 2 Pd 2.85
14 Pd 0.3157 0.6843 0.0188  5 Al 2.60-2.90
15 Pd 0.6843 0.3157 0.9812  5 Al 2.60-2.90
16 Pd 0.6862 0.8138 0.7500  3 Al 2.59-2.60, 2 Pd 2.85
17 Pd 0.8138 0.6862 0.2500  3 Al 2.59-2.60, 2 Pd 2.85
18 Pd 0.8157 0.1843 0.4812  5 Al 2.60-2.90

2.
Density functional theory data (PBE) for a relaxed CaV2InCu crystal.

## Properties
ΔH_f (0 K), meV/atom: 781
Theoretical density, kg/m³: 4562
Electronic total energy, eV/atom: -4.63
DOS(E_F), states/eV per atom: 1.487
Space-group type: P4/mmm (123)

Lattice parameters (Å, degrees): 4.7775 4.7775 5.1084 90.00 90.00 90.00
With the nearest neighbours (Å) after each atom.
Element x y z (fractional)
1 Ca 0.0000 0.0000 0.0000  2 Cu 2.55
2 V 0.0000 0.5000 0.5000  2 Cu 2.39
3 V 0.5000 0.0000 0.5000  2 Cu 2.39
4 In 0.5000 0.5000 0.0000  4 Ca 3.38, 8 V 3.50
5 Cu 0.0000 0.0000 0.5000  4 V 2.39, 2 Ca 2.55

3.
Density functional theory data (PBE) for a relaxed RbCd2SnPd crystal.

## Properties
ΔH_f (0 K), meV/atom: -169
Theoretical density, kg/m³: 5899
Electronic total energy, eV/atom: -2.57
DOS(E_F), states/eV per atom: 0.499
Space-group type: P4/mmm (123)

Lattice parameters (Å, degrees): 5.3837 5.3837 5.1997 90.00 90.00 90.00
With the nearest neighbours (Å) after each atom.
Element x y z (fractional)
1 Rb 0.0000 0.0000 0.0000  8 Cd 3.74, 4 Sn 3.81
2 Cd 0.0000 0.5000 0.5000  2 Pd 2.69
3 Cd 0.5000 0.0000 0.5000  2 Pd 2.69
4 Sn 0.5000 0.5000 0.0000  2 Pd 2.60
5 Pd 0.5000 0.5000 0.5000  2 Sn 2.60, 4 Cd 2.69

4.
Density functional theory data (PBE) for a relaxed Dy3TlO6 crystal.

## Properties
Formation energy (no corrections), eV/atom: -2.82
Polymorph energy (0 for the lowest one), meV/atom: 10
Theoretical density, kg/m³: 9149
Electronic total energy, eV/atom: -7.42
Space-group type: Cmc2_1 (36)

Lattice parameters (Å, degrees): 7.2027 7.2027 5.6586 90.00 90.00 103.03
With the nearest neighbours (Å) after each atom.
Element x y z (fractional)
1 Dy 0.0990 0.9010 0.5000  7 O 2.31-2.44
2 Dy 0.1974 0.4086 0.4439  6 O 2.25-2.49
3 Dy 0.4086 0.1974 0.9439  6 O 2.25-2.49
4 Dy 0.5914 0.8026 0.4439  6 O 2.25-2.49
5 Dy 0.8026 0.5914 0.9439  6 O 2.25-2.49
6 Dy 0.9010 0.0990 0.0000  7 O 2.31-2.44
7 Tl 0.3181 0.6819 0.9358  4 O 2.11-2.22
8 Tl 0.6819 0.3181 0.4358  4 O 2.11-2.22
9 O 0.0617 0.5999 0.7110  1 Tl 2.21, 3 Dy 2.27-2.44
10 O 0.1407 0.1800 0.7232  4 Dy 2.25-2.33
11 O 0.1800 0.1407 0.2232  4 Dy 2.25-2.33
12 O 0.2802 0.7198 0.3005  1 Tl 2.11, 3 Dy 2.33
13 O 0.4001 0.9383 0.7110  1 Tl 2.21, 3 Dy 2.27-2.44
14 O 0.4782 0.5218 0.7067  1 Tl 2.22
15 O 0.5218 0.4782 0.2067  1 Tl 2.22
16 O 0.5999 0.0617 0.2110  1 Tl 2.21, 3 Dy 2.27-2.44
17 O 0.7198 0.2802 0.8005  1 Tl 2.11, 3 Dy 2.33
18 O 0.8200 0.8593 0.7232  4 Dy 2.25-2.33
19 O 0.8593 0.8200 0.2232  4 Dy 2.25-2.33
20 O 0.9383 0.4001 0.2110  1 Tl 2.21, 3 Dy 2.27-2.44

5.
Density functional theory data (PBE) for a relaxed PaFeSi2Ir2 crystal.

## Properties
Formation energy (no corrections), eV/atom: -0.49
Theoretical density, kg/m³: 11311
Electronic total energy, eV/atom: -8.25
DOS(E_F), states/eV per atom: 0.533
Space-group type: I4/mmm (139)

Lattice parameters (Å, degrees): 7.7107 7.7107 7.7107 151.11 151.11 41.32
With the nearest neighbours (Å) after each atom.
Element x y z (fractional)
1 Pa 0.0000 0.0000 0.0000  4 Fe 2.72
2 Fe 0.5000 0.5000 0.0000  2 Si 2.22
3 Si 0.3459 0.3459 0.0000  1 Fe 2.22, 4 Ir 2.37
4 Si 0.6541 0.6541 0.0000  1 Fe 2.22, 4 Ir 2.37
5 Ir 0.2500 0.7500 0.5000  4 Si 2.37
6 Ir 0.7500 0.2500 0.5000  4 Si 2.37

6.
Density functional theory data (PBE) for a relaxed SiAsP2 crystal.

## Properties
Formation energy (no corrections), eV/atom: 0.11
Polymorph energy (0 for the lowest one), meV/atom: 12
Theoretical density, kg/m³: 4049
Electronic total energy, eV/atom: -5.11
DOS(E_F), states/eV per atom: 0.204
Space-group type: P2/m (10)

Lattice parameters (Å, degrees): 4.3327 3.5692 4.5761 90.00 107.07 90.00
With the nearest neighbours (Å) after each atom.
Element x y z (fractional)
1 Si 0.0000 0.0000 0.0000  4 P 2.46, 2 As 2.65
2 As 0.5000 0.0000 0.5000  4 P 2.61, 2 Si 2.65
3 P 0.2759 0.5000 0.8020  1 P 2.23, 2 Si 2.46
4 P 0.7241 0.5000 0.1980  1 P 2.23, 2 Si 2.46

7.
Density functional theory data (PBE) for a relaxed CsCa2Hg2 crystal.

## Properties
ΔH_f (0 K), meV/atom: -217
Polymorph energy (0 for the lowest one), meV/atom: 35
Theoretical density, kg/m³: 5118
Electronic total energy, eV/atom: -1.31
DOS(E_F), states/eV per atom: 0.699
Space-group type: I4/mmm (139)

Lattice parameters (Å, degrees): 7.9147 7.9147 7.9147 140.46 140.46 57.16
With the nearest neighbours (Å) after each atom.
Element x y z (fractional)
1 Cs 0.0000 0.0000 0.0000  8 Hg 4.10, 8 Ca 4.39
2 Ca 0.2500 0.7500 0.5000  4 Hg 3.28
3 Ca 0.7500 0.2500 0.5000  4 Hg 3.28
4 Hg 0.3861 0.3861 0.0000  1 Hg 3.17, 4 Ca 3.28
5 Hg 0.6139 0.6139 0.0000  1 Hg 3.17, 4 Ca 3.28

8.
Density functional theory data (PBE) for a relaxed BPHAu crystal.

## Properties
Polymorph energy (0 for the lowest one), meV/atom: 198
Theoretical density, kg/m³: 7515
Electronic total energy, eV/atom: -4.56
DOS(E_F), states/eV per atom: 0.128
Space-group type: Cm (8)

Lattice parameters (Å, degrees): 4.3275 4.3275 3.2545 93.52 93.52 60.63
With the nearest neighbours (Å) after each atom.
Element x y z (fractional)
1 B 0.0000 0.0000 0.0000  1 H 1.20
2 P 0.8598 0.8598 0.4779  2 B 1.93-1.94
3 H 0.1603 0.1603 0.9950  1 B 1.20
4 Au 0.5308 0.5308 0.3919  3 P 2.45-2.56, 2 B 2.53

9.
Density functional theory data (PBE) for a relaxed ScPaAl2 crystal.

## Properties
ΔH_f (0 K), meV/atom: -148
Polymorph energy (0 for the lowest one), meV/atom: 146
Theoretical density, kg/m³: 6471
Electronic total energy, eV/atom: -5.98
DOS(E_F), states/eV per atom: 1.229
Space-group type: R-3m (166)

Lattice parameters (Å, degrees): 10.1162 10.1162 10.1162 17.82 17.82 17.82
With the nearest neighbours (Å) after each atom.
Element x y z (fractional)
1 Sc 0.0000 0.0000 0.0000  6 Al 2.98, 6 Sc 3.13
2 Pa 0.5000 0.5000 0.5000  6 Pa 3.13, 6 Al 3.17
3 Al 0.2538 0.2538 0.2538  3 Sc 2.98, 6 Al 3.13, 3 Pa 3.17
4 Al 0.7462 0.7462 0.7462  3 Sc 2.98, 6 Al 3.13, 3 Pa 3.17